Record 1
TaWBr2: relaxed, PBE.

CIF file:
```
data_TaWBr2
_cell_length_a 3.515
_cell_length_b 4.586
_cell_length_c 4.841
_cell_angle_alpha 90.00
_cell_angle_beta 90.46
_cell_angle_gamma 90.00
_space_group_name_H-M_alt 'P 1 2/m 1'
_space_group_IT_number 10
loop_
_space_group_symop_operation_xyz
'x,y,z'
'-x,-y,-z'
'-x,y,-z'
'x,-y,z'
loop_
_atom_site_label
_atom_site_type_symbol
_atom_site_fract_x
_atom_site_fract_y
_atom_site_fract_z
_atom_site_occupancy
Ta1 Ta 0.000 0.000 0.000 1
W1 W 0.500 0.000 0.500 1
Br1 Br 0.249 0.500 0.253 1
```

For the uncorrected formation energy, the calculation gives 3.9 eV per formula unit.

Record 2
ZnCo2HAu: relaxed, PBE.

CIF file:
```
data_ZnCo2HAu
_cell_length_a 3.719
_cell_length_b 3.719
_cell_length_c 4.037
_cell_angle_alpha 90.00
_cell_angle_beta 90.00
_cell_angle_gamma 90.00
_space_group_name_H-M_alt 'P 4/m m m'
_space_group_IT_number 123
_space_group_name_Hall '-P 4 2'
loop_
_atom_site_label
_atom_site_type_symbol
_atom_site_fract_x
_atom_site_fract_y
_atom_site_fract_z
_atom_site_occupancy
Zn1 Zn 0.000 0.000 0.000 1
Co1 Co 0.000 0.500 0.500 1
H1 H 0.500 0.500 0.500 1
Au1 Au 0.500 0.500 0.000 1
```

| no. | energy above the most stable polymorph in this dataset (meV per atom) | energy (eV per atom) | theoretical density (g/cm³) |
| --- | --- | --- | --- |
| 1 | 1042 | -6.051 | 11.2 |
| 2 | 41 | -4.279 | 11.3 |